This record from the Alexandria database describes a relaxed Y5Hg crystal. The functional is GGA-PBEsol.

Cell lengths 3.540, 3.540, 13.729 Å; angles 90.00, 90.00, 90.00 degrees
Space group P4/mmm (No. 123)
Inequivalent atoms, fractional coordinates:
Y (0.000, 0.000, 0.000) x1
Y (0.000, 0.000, 0.359) x2
Y (0.500, 0.500, 0.178) x2
Hg (0.500, 0.500, 0.500) x1

Results
Calculated total energy ... -35.77 eV/cell
Energy of formation ... -0.182 eV/atom
Total moment ... 0.002 μB per formula unit